Entry from the Alexandria database: crystalline Sr3WF at its relaxed geometry (PBE+U).

```
Sr3WF
1.0
6.4650 0.0000 0.0000
0.0000 6.4650 0.0000
0.0000 0.0000 6.4650
Sr W F
3 1 1
Direct
0.0000 0.5000 0.0000 Sr
0.0000 0.0000 0.5000 Sr
0.5000 0.0000 0.0000 Sr
0.0000 0.0000 0.0000 W
0.5000 0.5000 0.5000 F
```

Results
Density of states at the Fermi level = 3.3 states/eV/cell
Energy relative to the lowest polymorph listed for this composition = 821 meV per atom
M_tot = 5.895 μB per cell